No. 1
A relaxed structure of Ca2WCl2, computed with GGA-PBE.

abc: 7.640 7.640 7.640
angles: 146.12 146.12 48.66
Element x y z (fractional)
1 Ca 0.128 0.128 0.000
2 Ca 0.872 0.872 0.000
3 W 0.500 0.500 0.000
4 Cl 0.250 0.750 0.500
5 Cl 0.750 0.250 0.500

Summary:
Final energy = -4.3689 eV per atom
Energy above the most stable polymorph in this dataset = 0 meV/atom
Total magnetic moment = 0.80 μB per atom
Formation energy without anion corrections = -239.0 meV/atom
Space group = I4/mmm (139)

=====

No. 2
A relaxed structure of CaWCl2, computed with GGA-PBE.

abc: 4.762 4.762 3.139
angles: 90.00 90.00 90.00
Element x y z (fractional)
1 Ca 0.000 0.000 0.000
2 W 0.500 0.500 0.000
3 Cl 0.000 0.500 0.500
4 Cl 0.500 0.000 0.500

Summary:
Final energy = -4.4529 eV per atom
Energy above the most stable polymorph in this dataset = 656 meV/atom
Total magnetic moment = 0.00 μB per atom
Formation energy without anion corrections = 209.1 meV/atom
Space group = P4/mmm (123)

=====

No. 3
A relaxed structure of CaWCl2, computed with GGA-PBE.

abc: 9.853 9.853 9.853
angles: 19.41 19.41 19.41
Element x y z (fractional)
1 Ca 0.000 0.000 0.000
2 W 0.500 0.500 0.500
3 Cl 0.110 0.110 0.110
4 Cl 0.890 0.890 0.890

Summary:
Final energy = -4.4751 eV per atom
Energy above the most stable polymorph in this dataset = 634 meV/atom
Total magnetic moment = 0.00 μB per atom
Formation energy without anion corrections = 186.9 meV/atom
Space group = R-3m (166)

=====

No. 4
A relaxed structure of CaWCl2, computed with GGA-PBE.

abc: 3.105 4.408 6.235
angles: 90.00 90.00 90.00
Element x y z (fractional)
1 Ca 0.000 0.000 0.000
2 W 0.500 0.000 0.500
3 Cl 0.000 0.500 0.500
4 Cl 0.500 0.500 0.000

Summary:
Final energy = -4.6657 eV per atom
Energy above the most stable polymorph in this dataset = 443 meV/atom
Total magnetic moment = 0.44 μB per atom
Formation energy without anion corrections = -3.7 meV/atom
Space group = Pmmm (47)

=====

> Which of these has the lowest formation energy without anion corrections?

Ca2WCl2

=====

> Which of these has the highest formation energy without anion corrections?

number 2

=====

> Which of these has the highest final energy?

Ca2WCl2

=====

> The highest final energy belongs to which entry?

Ca2WCl2